# 1
Density functional theory data (PBE) for a relaxed structure of BeB2Rh6.

Cell: 4.9084 5.7029 9.1097 Å, 90.00 121.92 90.00°
Closest atoms and distances in Å follow each position.
Space group P2_1/c (No. 14)
One atom of each set of equivalent atoms:
1 Be 0.0000 0.0000 0.0000 (multiplicity 2)  6 Rh 2.12-2.29
2 B 0.3342 0.1034 0.7538 (multiplicity 4)  6 Rh 2.11-2.23
3 Rh 0.0724 0.0945 0.2623 (multiplicity 4)  2 B 2.17-2.23, 1 Be 2.29
4 Rh 0.2638 0.6649 0.0618 (multiplicity 4)  1 Be 2.21, 2 B 2.21-2.23
5 Rh 0.4272 0.1955 0.0903 (multiplicity 4)  2 B 2.11-2.13, 1 Be 2.12

Summary:
The density of states at the Fermi level is 20.38 states/eV/cell. As for the formation enthalpy at 0 K: -0.16 eV per atom. For the total magnetic moment, the calculation gives 0.0 μB per cell. Its crystal system is monoclinic.

# 2
Density functional theory data (PBE) for a relaxed structure of TaHgPb.

Cell: 4.9857 4.9857 3.2178 Å, 90.00 90.00 120.00°
Closest atoms and distances in Å follow each position.
Space group P-6m2 (No. 187)
One atom of each set of equivalent atoms:
1 Ta 0.0000 0.0000 0.0000 (multiplicity 1)  3 Hg 2.88, 2 Ta 3.22
2 Hg 0.6667 0.3333 0.0000 (multiplicity 1)  3 Ta 2.88, 2 Hg 3.22
3 Pb 0.3333 0.6667 0.5000 (multiplicity 1)  2 Pb 3.22, 6 Ta 3.30, 6 Hg 3.30

Summary:
The density of states at the Fermi level is 2.97 states/eV/cell. As for the formation enthalpy at 0 K: 0.74 eV per atom. The excess energy over the best structure of this formula in the dataset comes out at 262.4 meV per atom. For the total magnetic moment, the calculation gives 0.0 μB per cell. Its crystal system is hexagonal.

# 3
Density functional theory data (PBE) for a relaxed structure of TbPr2Os.

Cell: 3.6276 3.6276 32.9199 Å, 90.00 90.00 120.00°
Closest atoms and distances in Å follow each position.
Space group R-3m (No. 166, hexagonal axes)
One atom of each set of equivalent atoms:
1 Tb 0.0000 0.0000 0.0000 (multiplicity 3)  2 Pr 3.50, 6 Tb 3.63
2 Pr 0.0000 0.0000 0.1063 (multiplicity 6)  3 Os 2.89
3 Os 0.0000 0.0000 0.5000 (multiplicity 3)  6 Pr 2.89

Summary:
The density of states at the Fermi level is 17.33 states/eV/cell. As for the formation enthalpy at 0 K: 0.43 eV per atom. The excess energy over the best structure of this formula in the dataset comes out at 541.2 meV per atom. For the total magnetic moment, the calculation gives 0.0 μB per cell. Its crystal system is trigonal.

# 4
Density functional theory data (PBE) for a relaxed structure of LiGd2Ga.

Cell: 5.0873 5.0873 3.7450 Å, 90.00 90.00 90.00°
Closest atoms and distances in Å follow each position.
Space group P4/mmm (No. 123)
One atom of each set of equivalent atoms:
1 Li 0.0000 0.0000 0.0000 (multiplicity 1)  8 Gd 3.16
2 Gd 0.0000 0.5000 0.5000 (multiplicity 2)  4 Li 3.16, 4 Ga 3.16
3 Ga 0.5000 0.5000 0.0000 (multiplicity 1)  8 Gd 3.16

Summary:
The density of states at the Fermi level is 3.98 states/eV/cell. As for the formation enthalpy at 0 K: -0.30 eV per atom. For the total magnetic moment, the calculation gives 14.9 μB per cell. Its crystal system is tetragonal.

Calculated final energy in order - -0.512 -0.334 -0.436 -0.630 Ry per atom